Ca2Cd16In PBE-GGA relaxed; electronic total energy = -1.2509 eV per atom; energy of formation = -0.1255 eV per atom; space group = R3m (160)
1.0
5.127 2.960 4.985
-5.127 2.960 4.985
0.000 -5.921 4.985
Ca Cd In
2 16 1
Direct
0.000 0.000 0.000
0.329 0.329 0.329
0.023 0.023 0.498
0.023 0.498 0.023
0.170 0.660 0.660
0.307 0.307 0.828
0.307 0.828 0.307
0.358 0.665 0.969
0.358 0.969 0.665
0.498 0.023 0.023
0.564 0.564 0.564
0.660 0.170 0.660
0.660 0.660 0.170
0.665 0.358 0.969
0.665 0.969 0.358
0.828 0.307 0.307
0.969 0.358 0.665
0.969 0.665 0.358
0.766 0.766 0.766

CaCd2In2 PBE-GGA relaxed; electronic total energy = -2.0757 eV per atom; energy of formation = -0.2140 eV per atom; space group = I4/mmm (139)
1.0
-2.247 2.247 6.626
2.247 -2.247 6.626
2.247 2.247 -6.626
Ca Cd In
1 2 2
Direct
0.000 0.000 0.000
0.397 0.397 0.000
0.603 0.603 0.000
0.250 0.750 0.500
0.750 0.250 0.500

CaCd2In PBE-GGA relaxed; electronic total energy = -1.9117 eV per atom; energy of formation = -0.2691 eV per atom; space group = P4/mmm (123)
1.0
4.726 0.000 0.000
0.000 4.726 0.000
0.000 0.000 4.557
Ca Cd In
1 2 1
Direct
0.000 0.000 0.000
0.000 0.500 0.500
0.500 0.000 0.500
0.500 0.500 0.000